1.
Er8Os2Pt: relaxed, GGA-PBE.

Output
The formation energy from the elements is -371 meV per atom. The value obtained for the total energy is -6.280 eV/atom. As for the spin magnetization: 0.0 μB per cell.

```
data_Er8Os2Pt
_chemical_formula_sum 'Er16 Os4 Pt2'
_cell_length_a 8.4872
_cell_length_b 12.3997
_cell_length_c 5.7188
_cell_angle_alpha 90.00
_cell_angle_beta 107.59
_cell_angle_gamma 90.00
_space_group_name_H-M_alt 'C 1 m 1'
_space_group_IT_number 8
_space_group_name_Hall 'C -2y'
loop_
_atom_site_label
_atom_site_fract_x
_atom_site_fract_y
_atom_site_fract_z
Er1 0.0000 0.0000 0.0000
Er2 0.0675 0.3685 0.7937
Er3 0.1598 0.1314 0.6009
Er4 0.2332 0.5000 0.3868
Er5 0.3667 0.2211 0.1930
Os1 0.3625 0.3122 0.6925
Pt1 0.3685 0.0000 0.0508
```

2.
TaRe2Mo: relaxed, GGA-PBE.

Output
The formation energy from the elements is -63 meV per atom. The value obtained for the total energy is -11.958 eV/atom. As for the spin magnetization: 0.0 μB per cell.

```
data_TaRe2Mo
_chemical_formula_sum 'Ta1 Re2 Mo1'
_cell_length_a 2.7595
_cell_length_b 4.4711
_cell_length_c 5.2479
_cell_angle_alpha 90.00
_cell_angle_beta 100.58
_cell_angle_gamma 90.00
_space_group_name_H-M_alt 'P 1 m 1'
_space_group_IT_number 6
_space_group_name_Hall 'P -2y'
loop_
_atom_site_label
_atom_site_fract_x
_atom_site_fract_y
_atom_site_fract_z
Ta1 0.0000 0.0000 0.0000
Re1 0.2419 0.5000 0.7560
Re2 0.5115 0.0000 0.4996
Mo1 0.7550 0.5000 0.2616
```

3.
Sr2AgBiB: relaxed, GGA-PBE.

Output
The formation energy from the elements is 131 meV per atom. The value obtained for the total energy is -3.224 eV/atom. As for the spin magnetization: 0.0 μB per cell.

```
data_Sr2AgBiB
_chemical_formula_sum 'Sr2 Ag1 Bi1 B1'
_cell_length_a 5.6963
_cell_length_b 5.6963
_cell_length_c 4.7251
_cell_angle_alpha 90.00
_cell_angle_beta 90.00
_cell_angle_gamma 90.00
_space_group_name_H-M_alt 'P 4/m m m'
_space_group_IT_number 123
_space_group_name_Hall '-P 4 2'
loop_
_atom_site_label
_atom_site_fract_x
_atom_site_fract_y
_atom_site_fract_z
Sr1 0.0000 0.5000 0.0000
Ag1 0.0000 0.0000 0.5000
Bi1 0.5000 0.5000 0.5000
B1 0.5000 0.5000 0.0000
```

4.
Tm2TlPb: relaxed, GGA-PBE.

Output
The formation energy from the elements is -175 meV per atom. The value obtained for the total energy is -3.929 eV/atom. As for the spin magnetization: 0.0 μB per cell.

```
data_Tm2TlPb
_chemical_formula_sum 'Tm6 Tl3 Pb3'
_cell_length_a 4.6339
_cell_length_b 4.6339
_cell_length_c 20.1591
_cell_angle_alpha 90.00
_cell_angle_beta 90.00
_cell_angle_gamma 120.00
_space_group_name_H-M_alt 'R 3 m'
_space_group_IT_number 160
_space_group_name_Hall 'R 3 -2"'
loop_
_atom_site_label
_atom_site_fract_x
_atom_site_fract_y
_atom_site_fract_z
Tm1 0.0000 0.0000 0.0000
Tm2 0.0000 0.0000 0.1810
Tl1 0.0000 0.0000 0.4214
Pb1 0.0000 0.0000 0.5890
```

5.
Sm2ZnCu: relaxed, GGA-PBE.

Output
The formation energy from the elements is 307 meV per atom. The value obtained for the total energy is -3.395 eV/atom. As for the spin magnetization: 0.0 μB per cell.

```
data_Sm2ZnCu
_chemical_formula_sum 'Sm6 Zn3 Cu3'
_cell_length_a 3.4522
_cell_length_b 3.4522
_cell_length_c 31.8079
_cell_angle_alpha 90.00
_cell_angle_beta 90.00
_cell_angle_gamma 120.00
_space_group_name_H-M_alt 'R -3 m'
_space_group_IT_number 166
_space_group_name_Hall '-R 3 2"'
loop_
_atom_site_label
_atom_site_fract_x
_atom_site_fract_y
_atom_site_fract_z
Sm1 0.0000 0.0000 0.0994
Zn1 0.0000 0.0000 0.0000
Cu1 0.0000 0.0000 0.5000
```

6.
RuBr2: relaxed, GGA-PBE.

Output
The value obtained for the total energy is -3.686 eV/atom. As for the spin magnetization: 0.0 μB per cell. Its uncorrected formation energy is 1.56 eV/f.u.

```
data_RuBr2
_chemical_formula_sum 'Ru1 Br2'
_cell_length_a 4.5898
_cell_length_b 4.5898
_cell_length_c 3.0804
_cell_angle_alpha 90.00
_cell_angle_beta 90.00
_cell_angle_gamma 90.00
_space_group_name_H-M_alt 'P 4/m m m'
_space_group_IT_number 123
_space_group_name_Hall '-P 4 2'
loop_
_atom_site_label
_atom_site_fract_x
_atom_site_fract_y
_atom_site_fract_z
Ru1 0.0000 0.0000 0.0000
Br1 0.0000 0.5000 0.5000
```

7.
CaScSb2: relaxed, GGA-PBE.

Output
The value obtained for the total energy is -4.989 eV/atom. As for the spin magnetization: 0.0 μB per cell. Its uncorrected formation energy is -3.38 eV/f.u.

```
data_CaScSb2
_chemical_formula_sum 'Ca2 Sc2 Sb4'
_cell_length_a 7.3158
_cell_length_b 4.2490
_cell_length_c 7.8221
_cell_angle_alpha 90.00
_cell_angle_beta 108.36
_cell_angle_gamma 90.00
_space_group_name_H-M_alt 'C 1 2/m 1'
_space_group_IT_number 12
_space_group_name_Hall '-C 2y'
loop_
_atom_site_label
_atom_site_fract_x
_atom_site_fract_y
_atom_site_fract_z
Ca1 0.0000 0.0000 0.0000
Sc1 0.0000 0.5000 0.5000
Sb1 0.2412 0.0000 0.7232
```

8.
BaLiGa3: relaxed, GGA-PBE.

Output
The formation energy from the elements is 811 meV per atom. The value obtained for the total energy is -1.772 eV/atom. As for the spin magnetization: 0.0 μB per cell.

```
data_BaLiGa3
_chemical_formula_sum 'Ba1 Li1 Ga3'
_cell_length_a 6.0459
_cell_length_b 6.0459
_cell_length_c 6.0459
_cell_angle_alpha 90.00
_cell_angle_beta 90.00
_cell_angle_gamma 90.00
_space_group_name_H-M_alt 'P m -3 m'
_space_group_IT_number 221
_space_group_name_Hall '-P 4 2 3'
loop_
_atom_site_label
_atom_site_fract_x
_atom_site_fract_y
_atom_site_fract_z
Ba1 0.0000 0.0000 0.0000
Li1 0.5000 0.5000 0.5000
Ga1 0.0000 0.0000 0.5000
```

9.
DySi2TcRu: relaxed, GGA-PBE.

Output
The value obtained for the total energy is -7.772 eV/atom. As for the spin magnetization: 0.0 μB per cell. Its uncorrected formation energy is -3.77 eV/f.u.

```
data_DySi2TcRu
_chemical_formula_sum 'Dy2 Si4 Tc2 Ru2'
_cell_length_a 4.2023
_cell_length_b 4.2023
_cell_length_c 9.6426
_cell_angle_alpha 90.00
_cell_angle_beta 90.00
_cell_angle_gamma 90.00
_space_group_name_H-M_alt 'I -4 m 2'
_space_group_IT_number 119
_space_group_name_Hall 'I -4 -2'
loop_
_atom_site_label
_atom_site_fract_x
_atom_site_fract_y
_atom_site_fract_z
Dy1 0.0000 0.0000 0.0000
Si1 0.0000 0.0000 0.3702
Tc1 0.0000 0.5000 0.2500
Ru1 0.0000 0.5000 0.7500
```

10.
Pu2PbO2: relaxed, GGA-PBE.

Output
The value obtained for the total energy is -10.476 eV/atom. As for the spin magnetization: 79.3 μB per cell. Its uncorrected formation energy is -10.09 eV/f.u.

```
data_Pu2PbO2
_chemical_formula_sum 'Pu16 Pb8 O16'
_cell_length_a 6.9940
_cell_length_b 10.2993
_cell_length_c 11.1157
_cell_angle_alpha 90.00
_cell_angle_beta 90.00
_cell_angle_gamma 90.00
_space_group_name_H-M_alt 'F d d d'
_space_group_IT_number 70
loop_
_space_group_symop_operation_xyz
'x,y,z'
'-x,-y,-z'
'-x+1/4,-y+1/4,z'
'x+1/4,y+1/4,-z'
'x,-y+1/4,-z+1/4'
'-x,y+1/4,z+1/4'
'-x+1/4,y,-z+1/4'
'x+1/4,-y,z+1/4'
'x,y+1/2,z+1/2'
'-x,-y+1/2,-z+1/2'
'-x+1/4,-y+3/4,z+1/2'
'x+1/4,y+3/4,-z+1/2'
'x,-y+3/4,-z+3/4'
'-x,y+3/4,z+3/4'
'-x+1/4,y+1/2,-z+3/4'
'x+1/4,-y+1/2,z+3/4'
'x+1/2,y,z+1/2'
'-x+1/2,-y,-z+1/2'
'-x+3/4,-y+1/4,z+1/2'
'x+3/4,y+1/4,-z+1/2'
'x+1/2,-y+1/4,-z+3/4'
'-x+1/2,y+1/4,z+3/4'
'-x+3/4,y,-z+3/4'
'x+3/4,-y,z+3/4'
'x+1/2,y+1/2,z'
'-x+1/2,-y+1/2,-z'
'-x+3/4,-y+3/4,z'
'x+3/4,y+3/4,-z'
'x+1/2,-y+3/4,-z+1/4'
'-x+1/2,y+3/4,z+1/4'
'-x+3/4,y+1/2,-z+1/4'
'x+3/4,-y+1/2,z+1/4'
loop_
_atom_site_label
_atom_site_fract_x
_atom_site_fract_y
_atom_site_fract_z
Pu1 0.1250 0.2987 0.1250
Pb1 0.1250 0.1250 0.6250
O1 0.1250 0.1250 0.2569
```

11.
Li2PtBr: relaxed, GGA-PBE.

Output
The value obtained for the total energy is -3.359 eV/atom. As for the spin magnetization: 0.0 μB per cell. Its uncorrected formation energy is -1.90 eV/f.u.

```
data_Li2PtBr
_chemical_formula_sum 'Li2 Pt1 Br1'
_cell_length_a 3.3493
_cell_length_b 3.3493
_cell_length_c 6.2788
_cell_angle_alpha 90.00
_cell_angle_beta 90.00
_cell_angle_gamma 90.00
_space_group_name_H-M_alt 'P 4 m m'
_space_group_IT_number 99
_space_group_name_Hall 'P 4 -2'
loop_
_atom_site_label
_atom_site_fract_x
_atom_site_fract_y
_atom_site_fract_z
Li1 0.0000 0.0000 0.0000
Li2 0.5000 0.5000 0.2636
Pt1 0.0000 0.0000 0.4377
Br1 0.5000 0.5000 0.8565
```

12.
NaIn3I6: relaxed, GGA-PBE.

Output
The value obtained for the total energy is -2.484 eV/atom. As for the spin magnetization: 0.0 μB per cell. Its uncorrected formation energy is -6.01 eV/f.u.

```
data_NaIn3I6
_chemical_formula_sum 'Na2 In6 I12'
_cell_length_a 7.8693
_cell_length_b 8.7736
_cell_length_c 13.6223
_cell_angle_alpha 90.00
_cell_angle_beta 122.14
_cell_angle_gamma 90.00
_space_group_name_H-M_alt 'P 1 21/c 1'
_space_group_IT_number 14
_space_group_name_Hall '-P 2ybc'
loop_
_atom_site_label
_atom_site_fract_x
_atom_site_fract_y
_atom_site_fract_z
Na1 0.0000 0.0000 0.0000
In1 0.1924 0.1031 0.7390
In2 0.5000 0.0000 0.5000
I1 0.1388 0.1728 0.4543
I2 0.2754 0.7061 0.4360
I3 0.3895 0.0403 0.2572
```